No. 1
# Ac3Mn2O9, optimized geometry, DFT PBE+U
# Final energy, eV per cell: -210.3
# Space-group type: P6_3/mmc
# Fermi-level density of states, states/eV/cell: 13.59
data_Ac3Mn2O9
_chemical_formula_sum 'Ac6 Mn4 O18'
_symmetry_space_group_name_H-M 'P 1'
_symmetry_Int_Tables_number 1
_cell_length_a 5.5654
_cell_length_b 5.5654
_cell_length_c 13.8083
_cell_angle_alpha 90.00
_cell_angle_beta 90.00
_cell_angle_gamma 120.00
loop_
_symmetry_equiv_pos_as_xyz
'x,y,z'
loop_
_atom_site_label
_atom_site_type_symbol
_atom_site_fract_x
_atom_site_fract_y
_atom_site_fract_z
O1 O 0.3465 0.1733 0.0863
O2 O 0.8267 0.6535 0.4137
O3 O 0.8267 0.1733 0.4137
O4 O 0.5065 0.4935 0.2500
O5 O 0.5065 0.0130 0.2500
Mn1 Mn 0.6667 0.3333 0.1560
Ac1 Ac 0.6667 0.3333 0.5798
O6 O 0.0130 0.5065 0.7500
O7 O 0.8267 0.1733 0.0863
O8 O 0.6535 0.8267 0.5863
O9 O 0.4935 0.5065 0.7500
Ac2 Ac 0.0000 0.0000 0.2500
O10 O 0.4935 0.9870 0.7500
Mn2 Mn 0.3333 0.6667 0.6560
O11 O 0.1733 0.3465 0.5863
O12 O 0.9870 0.4935 0.2500
Ac3 Ac 0.0000 0.0000 0.7500
O13 O 0.8267 0.6535 0.0863
Ac4 Ac 0.3333 0.6667 0.4202
Ac5 Ac 0.3333 0.6667 0.0798
Ac6 Ac 0.6667 0.3333 0.9202
O14 O 0.1733 0.8267 0.9137
O15 O 0.1733 0.3465 0.9137
Mn3 Mn 0.6667 0.3333 0.3440
O16 O 0.3465 0.1733 0.4137
Mn4 Mn 0.3333 0.6667 0.8440
O17 O 0.6535 0.8267 0.9137
O18 O 0.1733 0.8267 0.5863

---

No. 2
# PuCoPb2O6, optimized geometry, DFT PBE+U
# Final energy, eV per cell: -73.3
# Space-group type: C2/m
# Fermi-level density of states, states/eV/cell: 5.24
data_PuCoPb2O6
_chemical_formula_sum 'Pu1 Co1 Pb2 O6'
_symmetry_space_group_name_H-M 'P 1'
_symmetry_Int_Tables_number 1
_cell_length_a 5.9788
_cell_length_b 5.8827
_cell_length_c 5.8825
_cell_angle_alpha 59.64
_cell_angle_beta 58.44
_cell_angle_gamma 58.43
loop_
_symmetry_equiv_pos_as_xyz
'x,y,z'
loop_
_atom_site_label
_atom_site_type_symbol
_atom_site_fract_x
_atom_site_fract_y
_atom_site_fract_z
O1 O 0.6266 0.0775 0.8131
O2 O 0.5208 0.1116 0.3522
O3 O 0.0058 0.5548 0.2899
O4 O 0.5209 0.6168 0.8468
Pb1 Pb 0.5381 0.5614 0.2968
Pu1 Pu 0.3162 0.3162 0.0515
Co1 Co 0.8162 0.8162 0.5515
O5 O 0.1116 0.5208 0.7508
Pb2 Pb 0.0942 0.0709 0.8063
O6 O 0.1115 0.0156 0.2562